LiTi2MnRu | PBE | optimized geometry

a b c (Å): 4.722 4.722 4.425
angles (deg): 90.00 90.00 90.00
Space group P4/mmm (No. 123)
Unique sites:
Li: 0.000 0.000 0.000 [1 per cell]
Ti: 0.000 0.500 0.500 [2 per cell]
Mn: 0.500 0.500 0.000 [1 per cell]
Ru: 0.500 0.500 0.500 [1 per cell]

Output
The calculated formation energy is 0.722 eV per atom. The volume comes out at 19.733 A^3/atom.

---

ReMo2Ru | PBE | optimized geometry

a b c (Å): 9.278 2.771 4.805
angles (deg): 90.00 99.33 90.00
Space group Cm (No. 8)
Unique sites:
Re: 0.000 0.000 0.000 [2 per cell]
Mo: 0.018 0.500 0.516 [2 per cell]
Mo: 0.256 0.500 0.250 [2 per cell]
Ru: 0.263 0.000 0.761 [2 per cell]

Output
The calculated formation energy is 0.120 eV per atom. The volume comes out at 15.237 A^3/atom.

---

Pr3SmHo7 | PBE | optimized geometry

a b c (Å): 7.0818 7.0818 8.7346
angles (deg): 90.00 90.00 120.00
Space group P3m1 (No. 156)
Unique sites:
Pr: 0.9995 0.4998 0.0000 [3 per cell]
Sm: 0.3333 0.6667 0.3404 [1 per cell]
Ho: 0.1672 0.3343 0.6626 [3 per cell]
Ho: 0.3348 0.1674 0.3400 [3 per cell]
Ho: 0.6667 0.3333 0.6605 [1 per cell]

Output
The calculated formation energy is 0.175 eV per atom. The volume comes out at 34.488 A^3/atom.